Density functional theory data (PBE) for a relaxed CrMo3 crystal.

Values from the calculation:
Space group: R3m (160)
Crystal system: trigonal
Mass density: 9.25 g cm⁻³
ΔE_f: 1.7 eV per formula unit

Structure (POSCAR):
```
CrMo3
1.0
2.934 0.000 0.000
-1.467 2.541 0.000
-1.467 0.847 8.190
Mo Cr
3 1
Direct
0.707 0.293 0.120
0.286 0.714 0.858
0.131 0.869 0.392
0.877 0.123 0.630
```